# 1
Compound: Ni8PtW2
Source: the Alexandria database
Functional: PBE
Structure: optimized geometry

Cell and atoms, written as POSCAR:
```
Ni8PtW2
1.0
0.219 3.421 -1.324
1.561 -2.060 -5.063
-6.714 -1.427 0.302
W Ni Pt
2 8 1
Direct
0.142 0.195 0.284
0.858 0.805 0.716
0.591 0.460 0.181
0.684 0.909 0.368
0.048 0.727 0.096
0.316 0.091 0.632
0.409 0.540 0.819
0.229 0.635 0.459
0.771 0.365 0.541
0.952 0.273 0.904
0.500 0.000 0.000
```

Energy ... -79.24 eV for the cell shown
Energy above the lowest structure with this stoichiometry ... 0.000 eV/atom
Crystal system ... monoclinic
Formation enthalpy at 0 K ... -1.0 eV per formula unit
N(E_F) ... 10.35 states/eV/f.u.


# 2
Compound: La4Bi2O9
Source: the Alexandria database
Functional: PBE
Structure: optimized geometry

Cell and atoms, written as POSCAR:
```
La4Bi2O9
1.0
5.862 -0.080 -0.030
-0.213 5.882 -0.063
-0.575 -2.959 8.855
O La Bi
9 4 2
Direct
0.288 0.978 0.450
0.293 0.479 0.483
0.323 0.197 0.774
0.841 0.894 0.536
0.744 0.863 0.181
0.634 0.743 0.853
0.722 0.330 0.139
0.214 0.813 0.117
0.222 0.334 0.143
0.452 0.155 0.276
0.508 0.828 0.637
0.468 0.515 0.002
0.017 0.651 0.294
0.917 0.999 0.022
0.088 0.231 0.598
```

Energy ... -112.09 eV for the cell shown
Crystal system ... triclinic
N(E_F) ... 0.00 states/eV/f.u.
Uncorrected formation energy ... -2.666 eV per atom


# 3
Compound: BaZnCo2
Source: the Alexandria database
Functional: PBE
Structure: optimized geometry

Cell and atoms, written as POSCAR:
```
BaZnCo2
1.0
4.557 0.000 0.000
0.000 4.553 0.000
0.000 0.000 3.509
Co Ba Zn
2 1 1
Direct
0.000 0.000 0.000
0.500 0.500 0.000
0.000 0.500 0.500
0.500 0.000 0.500
```

Energy ... -14.05 eV for the cell shown
Crystal system ... tetragonal
Formation enthalpy at 0 K ... 3.4 eV per formula unit
N(E_F) ... 7.19 states/eV/f.u.


# 4
Compound: CrHgS3
Source: the Alexandria database
Functional: PBE
Structure: optimized geometry

Cell and atoms, written as POSCAR:
```
CrHgS3
1.0
-2.333 -3.799 -0.894
3.746 -2.472 0.729
-1.095 -0.363 4.398
S Hg Cr
3 1 1
Direct
0.000 0.500 0.000
0.000 0.000 0.500
0.500 0.000 0.000
0.500 0.500 0.500
0.000 0.000 0.000
```

Energy ... -21.42 eV for the cell shown
Energy above the lowest structure with this stoichiometry ... 0.000 eV/atom
Crystal system ... cubic
N(E_F) ... 4.97 states/eV/f.u.
Uncorrected formation energy ... 0.177 eV per atom


# 5
Compound: Ho4IrRu2
Source: the Alexandria database
Functional: PBE
Structure: optimized geometry

Cell and atoms, written as POSCAR:
```
Ho4IrRu2
1.0
-5.781 0.734 -0.652
2.365 -1.585 -5.126
1.007 -4.184 3.983
Ir Ru Ho
1 2 4
Direct
0.000 0.000 0.000
0.500 0.000 0.500
0.500 0.500 0.000
0.000 0.000 0.500
0.000 0.500 0.000
0.500 0.000 0.000
0.500 0.500 0.500
```

Energy ... -49.14 eV for the cell shown
Crystal system ... tetragonal
Formation enthalpy at 0 K ... -3.4 eV per formula unit
N(E_F) ... 4.09 states/eV/f.u.


# 6
Compound: LaPr4Pu3S8
Source: the Alexandria database
Functional: PBE
Structure: optimized geometry

Cell and atoms, written as POSCAR:
```
LaPr4Pu3S8
1.0
8.101 0.000 0.000
0.000 8.135 0.018
-4.051 -4.047 5.731
S Pr Pu La
8 4 3 1
Direct
0.251 0.742 0.991
0.749 0.258 0.498
0.259 0.258 0.009
0.255 0.264 0.509
0.741 0.742 0.991
0.745 0.736 0.491
0.749 0.258 0.009
0.251 0.742 0.502
0.000 0.000 0.500
0.500 0.000 0.000
0.000 0.000 0.000
0.500 0.000 0.500
0.500 0.500 0.000
0.500 0.500 0.500
0.000 0.500 0.500
0.000 0.500 0.000
```

Energy ... -131.29 eV for the cell shown
Crystal system ... trigonal
N(E_F) ... 26.64 states/eV/f.u.
Uncorrected formation energy ... -1.952 eV per atom


# 7
Compound: CaInHg3
Source: the Alexandria database
Functional: PBE
Structure: optimized geometry

Cell and atoms, written as POSCAR:
```
CaInHg3
1.0
5.619 0.000 0.000
0.000 5.384 -2.857
0.000 1.175 8.717
Ca In Hg
2 2 6
Direct
0.250 0.184 0.368
0.750 0.816 0.632
0.250 0.560 0.119
0.750 0.440 0.881
0.750 0.405 0.296
0.250 0.110 0.704
0.750 0.890 0.296
0.500 0.000 0.000
0.000 0.000 0.000
0.250 0.595 0.704
```

Energy ... -13.10 eV for the cell shown
Energy above the lowest structure with this stoichiometry ... 0.016 eV/atom
Crystal system ... orthorhombic
Formation enthalpy at 0 K ... -0.9 eV per formula unit
N(E_F) ... 3.05 states/eV/f.u.


# 8
Compound: BaSr2Sn
Source: the Alexandria database
Functional: PBE
Structure: optimized geometry

Cell and atoms, written as POSCAR:
```
BaSr2Sn
1.0
-7.921 -4.133 5.331
6.071 -7.953 2.854
0.116 -4.172 7.090
Sn Sr Ba
2 4 2
Direct
0.250 0.750 0.500
0.500 0.500 0.000
0.202 0.625 0.250
0.548 0.125 0.250
0.375 0.452 0.750
0.875 0.798 0.750
0.000 0.000 0.000
0.750 0.250 0.500
```

Energy ... -20.12 eV for the cell shown
Crystal system ... tetragonal
Formation enthalpy at 0 K ... -0.8 eV per formula unit
N(E_F) ... 0.80 states/eV/f.u.


Among the records above, which one has the highest N(E_F)? LaPr4Pu3S8


Among the records above, which one has the lowest N(E_F)? La4Bi2O9